{"formula": "Sc2TlH", "functional": "PBE", "state": "optimized geometry", "lattice": [[6.4432, 0.0000, 0.0000], [0.0000, 6.4432, 0.0000], [0.0000, 0.0000, 7.1633]], "species": ["Sc", "Sc", "Sc", "Sc", "Sc", "Sc", "Sc", "Sc", "Tl", "Tl", "Tl", "Tl", "H", "H", "H", "H"], "fractional_positions": [[0.1341, 0.7500, 0.1250], [0.2500, 0.1341, 0.8750], [0.2500, 0.3659, 0.3750], [0.3659, 0.7500, 0.6250], [0.6341, 0.2500, 0.6250], [0.7500, 0.6341, 0.3750], [0.7500, 0.8659, 0.8750], [0.8659, 0.2500, 0.1250], [0.0000, 0.0000, 0.5000], [0.0000, 0.5000, 0.7500], [0.5000, 0.0000, 0.2500], [0.5000, 0.5000, 0.0000], [0.0000, 0.0000, 0.0000], [0.0000, 0.5000, 0.2500], [0.5000, 0.0000, 0.7500], [0.5000, 0.5000, 0.5000]], "final_energy_ev_per_fu": -19.531}

{"formula": "BaTi2SnB", "functional": "PBE", "state": "optimized geometry", "lattice": [[5.1868, 0.0000, 0.0000], [0.0000, 5.1868, 0.0000], [0.0000, 0.0000, 6.5514]], "species": ["Ba", "Ti", "Ti", "Sn", "B"], "fractional_positions": [[0.0000, 0.0000, 0.0000], [0.0000, 0.5000, 0.5000], [0.5000, 0.0000, 0.5000], [0.0000, 0.0000, 0.5000], [0.5000, 0.5000, 0.0000]], "final_energy_ev_per_fu": -20.676}

{"formula": "Cs2Pm2PuS6", "functional": "PBE", "state": "optimized geometry", "lattice": [[3.5777, -6.1693, 0.0000], [3.5777, 6.1693, 0.0000], [-2.4474, 0.0000, 8.2487]], "species": ["Cs", "Cs", "Pm", "Pm", "Pu", "S", "S", "S", "S", "S", "S"], "fractional_positions": [[0.1697, 0.8303, 0.0000], [0.8303, 0.1697, 0.0000], [0.3337, 0.6663, 0.5000], [0.6663, 0.3337, 0.5000], [0.0000, 0.0000, 0.5000], [0.0595, 0.3811, 0.6782], [0.2564, 0.2564, 0.3223], [0.3811, 0.0595, 0.6782], [0.6189, 0.9405, 0.3218], [0.7436, 0.7436, 0.6777], [0.9405, 0.6189, 0.3218]], "final_energy_ev_per_fu": -69.216, "e_form_raw_kcal_per_mol_atoms": -39.6}

{"formula": "Y2HIrPd", "functional": "PBE", "state": "optimized geometry", "lattice": [[4.8704, 0.0000, 0.0000], [0.0000, 4.8704, 0.0000], [0.0000, 0.0000, 3.6486]], "species": ["Y", "Y", "H", "Ir", "Pd"], "fractional_positions": [[0.0000, 0.5000, 0.0000], [0.5000, 0.0000, 0.0000], [0.0000, 0.0000, 0.0000], [0.5000, 0.5000, 0.5000], [0.0000, 0.0000, 0.5000]], "final_energy_ev_per_fu": -33.947}

{"formula": "PrCdSn2Pd4", "functional": "PBE", "state": "optimized geometry", "lattice": [[2.3165, 1.3374, 8.6106], [-2.3165, 1.3374, 8.6106], [0.0000, -2.6748, 8.6106]], "species": ["Pr", "Cd", "Sn", "Sn", "Pd", "Pd", "Pd", "Pd"], "fractional_positions": [[0.0000, 0.0000, 0.0000], [0.5000, 0.5000, 0.5000], [0.2455, 0.2455, 0.2455], [0.7545, 0.7545, 0.7545], [0.1298, 0.1298, 0.1298], [0.3950, 0.3950, 0.3950], [0.6050, 0.6050, 0.6050], [0.8702, 0.8702, 0.8702]], "final_energy_ev_per_fu": -39.252}

{"formula": "Pm3Sm2Si4", "functional": "PBE", "state": "optimized geometry", "lattice": [[3.4664, -8.1411, 0.0000], [3.4664, 8.1411, 0.0000], [0.0000, 0.0000, 8.4224]], "species": ["Pm", "Pm", "Pm", "Pm", "Pm", "Pm", "Sm", "Sm", "Sm", "Sm", "Si", "Si", "Si", "Si", "Si", "Si", "Si", "Si"], "fractional_positions": [[0.0000, 0.0000, 0.0000], [0.0452, 0.4548, 0.2500], [0.4548, 0.0452, 0.7500], [0.5000, 0.5000, 0.5000], [0.5452, 0.9548, 0.2500], [0.9548, 0.5452, 0.7500], [0.1063, 0.8937, 0.4036], [0.3937, 0.6063, 0.9036], [0.6063, 0.3937, 0.0964], [0.8937, 0.1063, 0.5964], [0.1876, 0.8124, 0.0585], [0.2230, 0.2770, 0.2500], [0.2770, 0.2230, 0.7500], [0.3124, 0.6876, 0.5585], [0.6876, 0.3124, 0.4415], [0.7230, 0.7770, 0.2500], [0.7770, 0.7230, 0.7500], [0.8124, 0.1876, 0.9415]], "final_energy_ev_per_fu": -49.586, "e_form_raw_kcal_per_mol_atoms": -10.8}

{"formula": "Zn6Pd2Au", "functional": "PBE", "state": "optimized geometry", "lattice": [[-2.2616, 3.6827, 4.2796], [2.2616, -3.6827, 4.2796], [2.2616, 3.6827, -4.2796]], "species": ["Zn", "Zn", "Zn", "Zn", "Zn", "Zn", "Pd", "Pd", "Au"], "fractional_positions": [[0.0139, 0.8292, 0.1847], [0.3045, 0.5000, 0.8045], [0.3555, 0.1708, 0.1847], [0.6445, 0.8292, 0.8153], [0.6955, 0.5000, 0.1955], [0.9861, 0.1708, 0.8153], [0.1664, 0.6664, 0.5000], [0.8336, 0.3336, 0.5000], [0.5000, 0.0000, 0.5000]], "final_energy_ev_per_fu": -23.510}

{"formula": "Tb2Pr7Tm2", "functional": "PBE", "state": "optimized geometry", "lattice": [[4.3238, -5.5224, 0.0000], [4.3238, 5.5224, 0.0000], [-1.9466, 0.0000, 8.0652]], "species": ["Tb", "Tb", "Pr", "Pr", "Pr", "Pr", "Pr", "Pr", "Pr", "Tm", "Tm"], "fractional_positions": [[0.0835, 0.0835, 0.3201], [0.9165, 0.9165, 0.6799], [0.0148, 0.5914, 0.3287], [0.2997, 0.2997, 0.0153], [0.4086, 0.9852, 0.6713], [0.5000, 0.5000, 0.5000], [0.5914, 0.0148, 0.3287], [0.7003, 0.7003, 0.9847], [0.9852, 0.4086, 0.6713], [0.2133, 0.7867, 0.0000], [0.7867, 0.2133, 0.0000]], "final_energy_ev_per_fu": -50.279}

{"formula": "Zn2FeCu", "functional": "PBE", "state": "optimized geometry", "lattice": [[2.6165, 0.0000, 0.0000], [-1.3083, 2.2660, 0.0000], [0.0000, 0.0000, 26.7403]], "species": ["Zn", "Zn", "Zn", "Zn", "Zn", "Zn", "Fe", "Fe", "Fe", "Cu", "Cu", "Cu"], "fractional_positions": [[0.0000, 0.0000, 0.0000], [0.0000, 0.0000, 0.2399], [0.3333, 0.6667, 0.6667], [0.3333, 0.6667, 0.9066], [0.6667, 0.3333, 0.3333], [0.6667, 0.3333, 0.5732], [0.0000, 0.0000, 0.7473], [0.3333, 0.6667, 0.4140], [0.6667, 0.3333, 0.0807], [0.0000, 0.0000, 0.4922], [0.3333, 0.6667, 0.1589], [0.6667, 0.3333, 0.8255]], "final_energy_ev_per_fu": -14.894}

{"formula": "PaGaHgBr6", "functional": "PBE", "state": "optimized geometry", "lattice": [[7.7163, 0.0000, 0.0000], [-3.8582, 6.6826, 0.0000], [0.0000, 0.0000, 16.9108]], "species": ["Pa", "Pa", "Ga", "Ga", "Hg", "Hg", "Br", "Br", "Br", "Br", "Br", "Br", "Br", "Br", "Br", "Br", "Br", "Br"], "fractional_positions": [[0.3333, 0.6667, 0.2500], [0.6667, 0.3333, 0.7500], [0.3333, 0.6667, 0.7500], [0.6667, 0.3333, 0.2500], [0.0000, 0.0000, 0.0000], [0.0000, 0.0000, 0.5000], [0.0354, 0.3854, 0.1576], [0.0354, 0.6499, 0.3424], [0.3501, 0.3854, 0.3424], [0.3501, 0.9646, 0.1576], [0.3854, 0.0354, 0.6576], [0.3854, 0.3501, 0.8424], [0.6146, 0.6499, 0.1576], [0.6146, 0.9646, 0.3424], [0.6499, 0.0354, 0.8424], [0.6499, 0.6146, 0.6576], [0.9646, 0.3501, 0.6576], [0.9646, 0.6146, 0.8424]], "final_energy_ev_per_fu": -32.675, "e_form_raw_kcal_per_mol_atoms": -25.1}

{"formula": "MnPb2", "functional": "PBE", "state": "optimized geometry", "lattice": [[7.3028, 0.0000, 0.0000], [-3.6514, 6.3244, 0.0000], [0.0000, 0.0000, 7.8846]], "species": ["Mn", "Mn", "Mn", "Mn", "Pb", "Pb", "Pb", "Pb", "Pb", "Pb", "Pb", "Pb"], "fractional_positions": [[0.3333, 0.6667, 0.0723], [0.3333, 0.6667, 0.4277], [0.6667, 0.3333, 0.5723], [0.6667, 0.3333, 0.9277], [0.0000, 0.0000, 0.0000], [0.0000, 0.0000, 0.5000], [0.1906, 0.3811, 0.7500], [0.1906, 0.8094, 0.7500], [0.3811, 0.1906, 0.2500], [0.6189, 0.8094, 0.7500], [0.8094, 0.1906, 0.2500], [0.8094, 0.6189, 0.2500]], "final_energy_ev_per_fu": -14.430}

{"formula": "Ac4Ce3HfN8", "functional": "PBE", "state": "optimized geometry", "lattice": [[3.6269, 2.0940, 6.1110], [-3.6269, 2.0940, 6.1110], [0.0000, -4.1880, 6.1110]], "species": ["Ac", "Ac", "Ac", "Ac", "Ce", "Ce", "Ce", "Hf", "N", "N", "N", "N", "N", "N", "N", "N"], "fractional_positions": [[0.0000, 0.0000, 0.0000], [0.0000, 0.5000, 0.5000], [0.5000, 0.0000, 0.5000], [0.5000, 0.5000, 0.0000], [0.0000, 0.0000, 0.5000], [0.0000, 0.5000, 0.0000], [0.5000, 0.0000, 0.0000], [0.5000, 0.5000, 0.5000], [0.2364, 0.2364, 0.2364], [0.2548, 0.7251, 0.7251], [0.2749, 0.2749, 0.7452], [0.2749, 0.7452, 0.2749], [0.7251, 0.2548, 0.7251], [0.7251, 0.7251, 0.2548], [0.7452, 0.2749, 0.2749], [0.7636, 0.7636, 0.7636]], "final_energy_ev_per_fu": -131.421, "e_form_raw_kcal_per_mol_atoms": -29.7}